(1)
A geometry-optimized NaTlHg2 structure. Source: the Alexandria database, functional PBE.

Values from the calculation:
- N(E_F): 1.731 states/eV/f.u.
- Space group: Fm-3m (225)
- Formation energy: -0.17 eV/atom
- Density: 9.7 g/cm3
- V: 26.78 Å³ per atom

Lattice parameters (Å, degrees): 5.330 5.332 5.332 60.00 59.99 59.99
Positions (direct):
Na1 0.750 0.750 0.750
Hg1 0.500 0.500 0.500
Hg2 0.000 0.000 0.000
Tl1 0.250 0.250 0.250

(2)
A geometry-optimized Na2TlHg4 structure. Source: the Alexandria database, functional PBE.

Values from the calculation:
- N(E_F): 2.775 states/eV/f.u.
- Energy above the most stable polymorph in this dataset: 184 meV per atom
- Space group: I4/mmm (139)
- Formation energy: 0.02 eV/atom
- Density: 6.6 g/cm3
- V: 37.78 Å³ per atom

Lattice parameters (Å, degrees): 5.724 5.724 9.030 108.48 108.48 90.00
Positions (direct):
Tl1 0.000 0.000 0.000
Hg1 0.798 0.798 0.595
Hg2 0.202 0.202 0.405
Hg3 0.000 0.500 0.000
Hg4 0.500 0.000 0.000
Na1 0.610 0.610 0.221
Na2 0.390 0.390 0.779

(3)
A geometry-optimized Na2Tl3Hg8 structure. Source: the Alexandria database, functional PBE.

Values from the calculation:
- N(E_F): 5.655 states/eV/f.u.
- Energy above the most stable polymorph in this dataset: 0 meV per atom
- Space group: C2/m (12)
- Formation energy: -0.09 eV/atom
- Density: 10.4 g/cm3
- V: 27.90 Å³ per atom

Lattice parameters (Å, degrees): 5.460 8.384 8.384 81.49 77.07 77.07
Positions (direct):
Hg1 0.317 0.430 0.928
Hg2 0.683 0.072 0.570
Hg3 0.683 0.570 0.072
Hg4 0.317 0.928 0.430
Hg5 0.912 0.164 0.164
Hg6 0.088 0.836 0.836
Hg7 0.225 0.566 0.566
Hg8 0.775 0.434 0.434
Tl1 0.000 0.760 0.240
Tl2 0.500 0.000 0.000
Tl3 0.000 0.240 0.760
Na1 0.341 0.302 0.302
Na2 0.659 0.698 0.698

Which value of V does entry 1 give? 26.78 Å³ per atom

Among the records above, which one has the lowest density? Na2TlHg4

Number 2 is which compound? Na2TlHg4

Which value of N(E_F) does entry 2 give? 2.775 states/eV/f.u.